## YNbTc4 (PBE-GGA)

Data for an optimized crystal structure of YNbTc4.

Computed properties:
magnetic moment: 0.00 μB per atom
formation energy from the elements: -57 meV/atom

Structure (POSCAR):
```
YNbTc4
1.0
5.284 0.000 0.000
2.642 4.576 0.000
2.642 1.525 4.314
Tc Nb Y
4 1 1
direct
0.626 0.123 0.626
0.123 0.626 0.626
0.626 0.626 0.626
0.626 0.626 0.123
0.000 0.000 0.000
0.250 0.250 0.250
```